First-principles (PBE) data for a relaxed structure of PmHoCdPt, as listed in the Alexandria database.

CIF file:
```
data_PmHoCdPt
_cell_length_a 7.281
_cell_length_b 7.281
_cell_length_c 7.281
_cell_angle_alpha 90.00
_cell_angle_beta 90.00
_cell_angle_gamma 90.00
_symmetry_space_group_name_H-M 'F -4 3 m'
_symmetry_Int_Tables_number 216
_symmetry_space_group_name_Hall 'F -4 2 3'
loop_
_atom_site_label
_atom_site_type_symbol
_atom_site_fract_x
_atom_site_fract_y
_atom_site_fract_z
Pm1 Pm 0.000 0.000 0.000
Ho1 Ho 0.000 0.000 0.500
Cd1 Cd 0.250 0.250 0.750
Pt1 Pt 0.250 0.250 0.250
```

Properties
Formation enthalpy at 0 K (meV/atom): -684.0
V (Å³ per atom): 24.1

***

First-principles (PBE) data for a relaxed structure of Li2HRu, as listed in the Alexandria database.

CIF file:
```
data_Li2HRu
_cell_length_a 4.970
_cell_length_b 4.970
_cell_length_c 6.779
_cell_angle_alpha 90.00
_cell_angle_beta 90.00
_cell_angle_gamma 90.00
_symmetry_space_group_name_H-M 'I -4 2 d'
_symmetry_Int_Tables_number 122
_symmetry_space_group_name_Hall 'I -4 2bw'
loop_
_atom_site_label
_atom_site_type_symbol
_atom_site_fract_x
_atom_site_fract_y
_atom_site_fract_z
Li1 Li 0.066 0.750 0.125
H1 H 0.000 0.000 0.000
Ru1 Ru 0.000 0.000 0.500
```

Properties
V (Å³ per atom): 10.5
Energy above the lowest structure with this stoichiometry (meV per atom): 0

***

First-principles (PBE) data for a relaxed structure of Pm2ZnSiO6, as listed in the Alexandria database.

CIF file:
```
data_Pm2ZnSiO6
_cell_length_a 5.192
_cell_length_b 5.192
_cell_length_c 4.600
_cell_angle_alpha 90.00
_cell_angle_beta 90.00
_cell_angle_gamma 90.00
_symmetry_space_group_name_H-M 'P 4 m m'
_symmetry_Int_Tables_number 99
loop_
_symmetry_equiv_pos_as_xyz
'x,y,z'
'-y,x,z'
'-x,-y,z'
'y,-x,z'
'-x,y,z'
'y,x,z'
'x,-y,z'
'-y,-x,z'
loop_
_atom_site_label
_atom_site_type_symbol
_atom_site_fract_x
_atom_site_fract_y
_atom_site_fract_z
Pm1 Pm 0.000 0.500 0.000
Zn1 Zn 0.000 0.000 0.543
Si1 Si 0.500 0.500 0.572
O1 O 0.000 0.000 0.120
O2 O 0.270 0.270 0.678
O3 O 0.500 0.500 0.206
```

Properties
Formation energy (no corrections) (eV per formula unit): -27.348
V (Å³ per atom): 12.4

***

First-principles (PBE) data for a relaxed structure of Ac3PmTc, as listed in the Alexandria database.

CIF file:
```
data_Ac3PmTc
_cell_length_a 5.769
_cell_length_b 5.769
_cell_length_c 5.769
_cell_angle_alpha 90.00
_cell_angle_beta 90.00
_cell_angle_gamma 90.00
_symmetry_space_group_name_H-M 'P m -3 m'
_symmetry_Int_Tables_number 221
_symmetry_space_group_name_Hall '-P 4 2 3'
loop_
_atom_site_label
_atom_site_type_symbol
_atom_site_fract_x
_atom_site_fract_y
_atom_site_fract_z
Ac1 Ac 0.000 0.000 0.500
Pm1 Pm 0.500 0.500 0.500
Tc1 Tc 0.000 0.000 0.000
```

Properties
Formation enthalpy at 0 K (meV/atom): 177.3
V (Å³ per atom): 38.4

***

First-principles (PBE) data for a relaxed structure of Pm5CdIr4, as listed in the Alexandria database.

CIF file:
```
data_Pm5CdIr4
_cell_length_a 3.588
_cell_length_b 3.588
_cell_length_c 17.996
_cell_angle_alpha 90.00
_cell_angle_beta 90.00
_cell_angle_gamma 90.00
_symmetry_space_group_name_H-M 'P 4/m m m'
_symmetry_Int_Tables_number 123
_symmetry_space_group_name_Hall '-P 4 2'
loop_
_atom_site_label
_atom_site_type_symbol
_atom_site_fract_x
_atom_site_fract_y
_atom_site_fract_z
Pm1 Pm 0.000 0.000 0.000
Pm2 Pm 0.000 0.000 0.190
Pm3 Pm 0.000 0.000 0.378
Cd1 Cd 0.500 0.500 0.500
Ir1 Ir 0.500 0.500 0.097
Ir2 Ir 0.500 0.500 0.290
```

Properties
Formation enthalpy at 0 K (meV/atom): -568.5
V (Å³ per atom): 23.2

***

First-principles (PBE) data for a relaxed structure of K4C3, as listed in the Alexandria database.

CIF file:
```
data_K4C3
_cell_length_a 6.113
_cell_length_b 6.113
_cell_length_c 6.113
_cell_angle_alpha 90.00
_cell_angle_beta 90.00
_cell_angle_gamma 90.00
_symmetry_space_group_name_H-M 'P m -3 m'
_symmetry_Int_Tables_number 221
_symmetry_space_group_name_Hall '-P 4 2 3'
loop_
_atom_site_label
_atom_site_type_symbol
_atom_site_fract_x
_atom_site_fract_y
_atom_site_fract_z
K1 K 0.000 0.000 0.000
K2 K 0.000 0.500 0.500
C1 C 0.000 0.000 0.500
```

Properties
Formation enthalpy at 0 K (meV/atom): 1914.5
V (Å³ per atom): 32.6
Energy above the lowest structure with this stoichiometry (meV per atom): 0

***

First-principles (PBE) data for a relaxed structure of Mg2Al2Ga, as listed in the Alexandria database.

CIF file:
```
data_Mg2Al2Ga
_cell_length_a 4.439
_cell_length_b 2.972
_cell_length_c 7.503
_cell_angle_alpha 90.00
_cell_angle_beta 106.39
_cell_angle_gamma 90.00
_symmetry_space_group_name_H-M 'P 1 2/m 1'
_symmetry_Int_Tables_number 10
loop_
_symmetry_equiv_pos_as_xyz
'x,y,z'
'-x,-y,-z'
'-x,y,-z'
'x,-y,z'
loop_
_atom_site_label
_atom_site_type_symbol
_atom_site_fract_x
_atom_site_fract_y
_atom_site_fract_z
Mg1 Mg 0.113 0.000 0.218
Al1 Al 0.302 0.500 0.606
Ga1 Ga 0.500 0.500 0.000
```

Properties
Formation enthalpy at 0 K (meV/atom): -34.2
V (Å³ per atom): 19.0
Energy above the lowest structure with this stoichiometry (meV per atom): 0

***

First-principles (PBE) data for a relaxed structure of DyTmCu, as listed in the Alexandria database.

CIF file:
```
data_DyTmCu
_cell_length_a 6.878
_cell_length_b 4.855
_cell_length_c 8.611
_cell_angle_alpha 90.00
_cell_angle_beta 90.00
_cell_angle_gamma 90.00
_symmetry_space_group_name_H-M 'P n m a'
_symmetry_Int_Tables_number 62
loop_
_symmetry_equiv_pos_as_xyz
'x,y,z'
'-x,-y,-z'
'-x+1/2,-y,z+1/2'
'x+1/2,y,-z+1/2'
'x+1/2,-y+1/2,-z+1/2'
'-x+1/2,y+1/2,z+1/2'
'-x,y+1/2,-z'
'x,-y+1/2,z'
loop_
_atom_site_label
_atom_site_type_symbol
_atom_site_fract_x
_atom_site_fract_y
_atom_site_fract_z
Dy1 Dy 0.016 0.250 0.174
Tm1 Tm 0.143 0.250 0.583
Cu1 Cu 0.244 0.250 0.900
```

Properties
Formation enthalpy at 0 K (meV/atom): -176.6
V (Å³ per atom): 24.0
Energy above the lowest structure with this stoichiometry (meV per atom): 0

***

First-principles (PBE) data for a relaxed structure of SrB2Se, as listed in the Alexandria database.

CIF file:
```
data_SrB2Se
_cell_length_a 6.725
_cell_length_b 6.725
_cell_length_c 6.489
_cell_angle_alpha 90.00
_cell_angle_beta 90.00
_cell_angle_gamma 90.00
_symmetry_space_group_name_H-M 'I -4 2 d'
_symmetry_Int_Tables_number 122
_symmetry_space_group_name_Hall 'I -4 2bw'
loop_
_atom_site_label
_atom_site_type_symbol
_atom_site_fract_x
_atom_site_fract_y
_atom_site_fract_z
Sr1 Sr 0.000 0.000 0.000
B1 B 0.172 0.250 0.625
Se1 Se 0.000 0.000 0.500
```

Properties
Formation energy (no corrections) (eV per formula unit): 3.112
V (Å³ per atom): 18.3